A relaxed structure of KSiH4, computed with PBE.

a = 5.110 Å, b = 5.110 Å, c = 8.583 Å
α = 105.17°, β = 105.17°, γ = 57.06°
Positions (direct):
1 K 0.000 0.500 0.000
2 K 0.500 0.000 0.500
3 Si 0.232 0.768 0.750
4 Si 0.768 0.232 0.250
5 H 0.009 0.618 0.683
6 H 0.382 0.991 0.817
7 H 0.415 0.569 0.886
8 H 0.431 0.585 0.614
9 H 0.569 0.415 0.386
10 H 0.585 0.431 0.114
11 H 0.618 0.009 0.183
12 H 0.991 0.382 0.317

Computed properties:
E = -39.3 eV/cell
Energy above the most stable polymorph in this dataset = 0.0 kJ/mol of atoms
Magnetization = 0.97 μB per formula unit
Crystal system = monoclinic
Calculated volume = 179.6 Å³/cell